1.
An optimized crystal structure of Dy2Ho3Sc3. Source: Alexandria, functional PBE.

Cell lengths 10.3062, 10.3062, 10.3062 Å; angles 153.06, 152.53, 38.86 degrees
Element x y z (fractional)
Dy1 0.2489 0.2489 0.0000
Dy2 0.7511 0.7511 0.0000
Ho1 0.0000 0.0000 0.0000
Ho2 0.3783 0.8783 0.5000
Ho3 0.6217 0.1217 0.5000
Sc1 0.1234 0.6234 0.5000
Sc2 0.5000 0.5000 0.0000
Sc3 0.8766 0.3766 0.5000

***

2.
An optimized crystal structure of Cu2AsRh. Source: Alexandria, functional PBE.

Cell lengths 3.0452, 3.3968, 5.3413 Å; angles 90.00, 90.00, 90.00 degrees
Element x y z (fractional)
Cu1 0.0000 0.0000 0.0000
Cu2 0.5000 0.5000 0.2040
As1 0.5000 0.5000 0.7131
Rh1 0.0000 0.0000 0.4916

***

Calculated energy, -5.19; -5.14 eV/atom (same order as the records).
Calculated calculated formation energy, 0.048; -0.095 eV per atom (same order as the records).